(1)
Below is a relaxed Pm3PrHg2 crystal, with properties calculated at the PBE level.

- energy (eV/atom) = -3.59
- spin magnetization (μB per atom) = 0.06
- relative energy among the computed polymorphs (meV per atom) = 17.3

Structure (POSCAR):
```
Pm3PrHg2
1.0
-0.1664 3.7595 -0.0582
-1.1448 0.0048 3.5853
12.1842 0.5996 3.8896
Hg Pm Pr
2 3 1
Cartesian
1.2124 1.9741 2.3599 Hg
9.6605 2.3898 5.0569 Hg
8.5086 0.4187 2.7162 Pm
3.6756 0.1809 1.1734 Pm
0.0000 0.0000 0.0000 Pm
5.4365 2.1820 3.7084 Pr
```


(2)
Below is a relaxed Pm4Pr7Hg crystal, with properties calculated at the PBE level.

- energy (eV/atom) = -4.33
- spin magnetization (μB per atom) = 0.00

Structure (POSCAR):
```
Pm4Pr7Hg
1.0
-2.5699 3.3925 3.8837
-0.8301 -5.6994 0.1555
11.1909 -1.3946 8.6233
Pm Hg Pr
4 1 7
Cartesian
5.9676 -3.5882 7.0831 Pm
1.8233 -0.1133 5.5794 Pm
0.3216 -2.8846 2.7325 Pm
7.4693 -0.8169 9.9299 Pm
5.5954 -0.6973 4.3116 Hg
0.0000 0.0000 0.0000 Pr
8.6073 -3.9171 9.1172 Pr
3.3287 -3.2593 5.0497 Pr
8.3099 -1.0356 6.4033 Pr
2.8809 -0.3590 2.2199 Pr
4.4622 -0.4422 7.6128 Pr
-0.8164 0.2156 3.5453 Pr
```


(3)
Below is a relaxed PmPr3Hg2 crystal, with properties calculated at the PBE level.

- energy (eV/atom) = -3.61
- spin magnetization (μB per atom) = 0.00
- relative energy among the computed polymorphs (meV per atom) = 0.0

Structure (POSCAR):
```
PmPr3Hg2
1.0
-2.4792 -3.0956 -3.5581
6.2938 -1.3202 -3.2368
1.3496 -7.7126 5.7697
Pr Pm Hg
6 2 4
Cartesian
2.4921 -2.9582 0.8372 Pr
6.1037 -6.2743 1.2058 Pr
3.2350 -3.7843 -2.9510 Pr
0.9661 -8.1420 2.4211 Pr
4.3327 -7.9254 3.8763 Pr
6.2800 -1.7302 -2.8706 Pr
-0.5504 -4.9936 0.7387 Pm
2.7466 -6.5121 -0.2375 Pm
4.5030 -9.0666 0.7611 Hg
2.5770 -5.3544 2.8628 Hg
0.4118 -3.0094 -1.6580 Hg
5.3246 -3.7326 -0.4627 Hg
```


(4)
Below is a relaxed PmPr2Hg5 crystal, with properties calculated at the PBE level.

- energy (eV/atom) = -2.41
- spin magnetization (μB per atom) = 0.00

Structure (POSCAR):
```
PmPr2Hg5
1.0
5.3179 0.0000 0.0000
0.0000 5.3179 0.0000
-2.6590 -2.6590 7.6013
Hg Pr Pm
5 2 1
Cartesian
2.6590 2.6590 0.0000 Hg
0.0000 2.6590 1.8160 Hg
2.6590 0.0000 1.8160 Hg
2.6590 0.0000 5.7853 Hg
0.0000 2.6590 5.7853 Hg
0.0000 0.0000 4.0667 Pr
2.6590 2.6590 3.5345 Pr
0.0000 0.0000 0.0000 Pm
```


(5)
Below is a relaxed PmPr2Hg crystal, with properties calculated at the PBE level.

- energy (eV/atom) = -3.79
- spin magnetization (μB per atom) = 0.00
- relative energy among the computed polymorphs (meV per atom) = 90.2

Structure (POSCAR):
```
PmPr2Hg
1.0
3.7556 0.0000 0.0000
1.8778 3.2525 0.0000
1.8778 1.0842 10.9463
Pr Hg Pm
2 1 1
Cartesian
1.8778 1.0842 8.4554 Pr
1.8778 1.0842 2.4881 Pr
5.6334 3.2525 10.9417 Hg
3.7556 2.1683 5.4806 Pm
```


(6)
Below is a relaxed Pm2PrHg crystal, with properties calculated at the PBE level.

- energy (eV/atom) = -3.79
- spin magnetization (μB per atom) = 0.00
- relative energy among the computed polymorphs (meV per atom) = 91.1

Structure (POSCAR):
```
Pm2PrHg
1.0
-2.0461 1.8551 2.5209
-3.4425 -1.1859 0.8519
2.2690 -5.9973 9.0282
Pm Hg Pr
2 1 1
Cartesian
1.3528 -4.6068 7.2614 Pm
-0.9142 -1.1661 2.8894 Pm
-1.3903 -5.5509 11.2764 Hg
-1.6088 -2.6656 6.2024 Pr
```


Number 6 is which compound? Pm2PrHg


Among the records above, which one has the highest energy? PmPr2Hg5


Which of these has the highest energy? PmPr2Hg5